Density functional theory data (SCAN) for TcCCl2 at its PBEsol-relaxed geometry. Values from VASP.

Geometry as Quantum ESPRESSO input:
```
&SYSTEM
  ibrav = 0, nat = 4, ntyp = 3
/
ATOMIC_SPECIES
C 12.01 C.upf
Tc 98.00 Tc.upf
Cl 35.45 Cl.upf
CELL_PARAMETERS angstrom
-2.812 -3.064 -0.364
1.265 -3.961 -0.375
-0.582 -2.684 3.144
ATOMIC_POSITIONS angstrom
C 0.000 0.000 0.000
Tc -1.064 -4.855 1.202
Cl -0.532 -2.427 0.601
Cl -1.597 -7.282 1.804
```

**Energy relative to the elements, uncorrected**: 1.8846 eV/atom
**DOS at the Fermi energy**: 0.81 states/eV per atom

***

Density functional theory data (SCAN) for AlOsW2 at its PBEsol-relaxed geometry. Values from VASP.

Geometry as Quantum ESPRESSO input:
```
&SYSTEM
  ibrav = 0, nat = 4, ntyp = 3
/
ATOMIC_SPECIES
Os 190.23 Os.upf
Al 26.98 Al.upf
W 183.84 W.upf
CELL_PARAMETERS angstrom
2.835 0.000 0.000
0.000 4.588 0.000
0.000 0.000 4.588
ATOMIC_POSITIONS angstrom
Os 1.418 0.000 0.000
Al 1.418 2.294 2.294
W 0.000 0.000 2.294
W 0.000 2.294 0.000
```

**DFT formation energy**: 0.2336 eV/atom
**DOS at the Fermi energy**: 0.84 states/eV per atom

***

Density functional theory data (SCAN) for LaFeRu2 at its PBEsol-relaxed geometry. Values from VASP.

Geometry as Quantum ESPRESSO input:
```
&SYSTEM
  ibrav = 0, nat = 4, ntyp = 3
/
ATOMIC_SPECIES
Fe 55.84 Fe.upf
La 138.91 La.upf
Ru 101.07 Ru.upf
CELL_PARAMETERS angstrom
-0.855 -1.397 4.221
-3.660 -2.525 0.851
0.467 -4.373 1.076
ATOMIC_POSITIONS angstrom
Fe 0.000 0.000 0.000
La -2.024 -4.148 3.074
Ru -1.012 -2.074 1.537
Ru -3.037 -6.221 4.611
```

**DFT formation energy**: 0.2496 eV/atom
**DOS at the Fermi energy**: 0.69 states/eV per atom
**Energy relative to the lowest polymorph listed for this composition**: 0.000 eV/atom

***

Density functional theory data (SCAN) for Li3CaTe at its PBEsol-relaxed geometry. Values from VASP.

Geometry as Quantum ESPRESSO input:
```
&SYSTEM
  ibrav = 0, nat = 5, ntyp = 3
/
ATOMIC_SPECIES
Ca 40.08 Ca.upf
Te 127.60 Te.upf
Li 6.94 Li.upf
CELL_PARAMETERS angstrom
5.226 0.000 0.000
0.000 5.226 0.000
0.000 0.000 5.226
ATOMIC_POSITIONS angstrom
Ca 2.613 2.613 2.613
Te 0.000 0.000 0.000
Li 0.000 2.613 0.000
Li 0.000 0.000 2.613
Li 2.613 0.000 0.000
```

**Energy relative to the elements, uncorrected**: -0.3421 eV/atom
**DOS at the Fermi energy**: 0.56 states/eV per atom

***

Density functional theory data (SCAN) for TlAg3Te2 at its PBEsol-relaxed geometry. Values from VASP.

Geometry as Quantum ESPRESSO input:
```
&SYSTEM
  ibrav = 0, nat = 6, ntyp = 3
/
ATOMIC_SPECIES
Ag 107.87 Ag.upf
Te 127.60 Te.upf
Tl 204.38 Tl.upf
CELL_PARAMETERS angstrom
-1.151 -0.296 3.811
3.988 -0.783 1.144
1.857 8.140 -0.898
ATOMIC_POSITIONS angstrom
Ag 0.807 5.034 0.634
Ag -0.101 2.810 2.278
Ag 1.419 -0.540 2.477
Te 2.385 2.048 0.879
Te 2.309 5.013 3.177
Tl 0.000 0.000 0.000
```

**Energy relative to the elements, uncorrected**: 0.1149 eV/atom
**DOS at the Fermi energy**: 0.35 states/eV per atom

***

Density functional theory data (SCAN) for CaTe2As at its PBEsol-relaxed geometry. Values from VASP.

Geometry as Quantum ESPRESSO input:
```
&SYSTEM
  ibrav = 0, nat = 4, ntyp = 3
/
ATOMIC_SPECIES
As 74.92 As.upf
Te 127.60 Te.upf
Ca 40.08 Ca.upf
CELL_PARAMETERS angstrom
-2.562 -1.741 -2.657
-1.505 -3.462 3.720
-1.470 5.625 0.865
ATOMIC_POSITIONS angstrom
As -1.281 -0.871 -1.328
Te -4.099 -0.818 1.356
Te -1.438 1.241 0.573
Ca -0.752 -1.731 1.860
```

**Energy relative to the elements, uncorrected**: -0.6041 eV/atom
**DOS at the Fermi energy**: 0.41 states/eV per atom